1.
Compound: Sc2Be3Fe
Source: Alexandria via LeMat-Bulk
Functional: PBE
Structure: relaxed

a b c (Å): 4.7630 4.7630 4.7916
angles (deg): 90.04 119.84 119.91
Last column: nearest neighbours and their distance in Å.
Fractional coordinates of all 6 atoms:
Sc: 0.7455 0.3727 0.1182  9 Be 2.79-2.82, 3 Fe 2.79, 4 Sc 2.90-3.00
Sc: 0.2545 0.6273 0.8818  9 Be 2.79-2.82, 3 Fe 2.79, 4 Sc 2.90-3.00
Be: 0.5000 0.5000 0.5000  4 Be 2.38, 2 Fe 2.40
Be: 0.0000 0.0000 0.5000  4 Be 2.38, 2 Fe 2.40
Be: 0.5000 0.0000 0.5000  4 Be 2.38, 2 Fe 2.39
Fe: 0.0000 0.0000 0.0000  6 Be 2.39-2.40

## Properties
The calculation puts the density of states at the Fermi level at 0.626 states/eV per atom. For the magnetic moment, the calculation gives 0.000 μB/f.u. The calculation puts the total energy at -33.2 eV/f.u.

***

2.
Compound: ScBe3Fe
Source: Alexandria via LeMat-Bulk
Functional: PBE
Structure: relaxed

a b c (Å): 4.4226 4.4226 4.4226
angles (deg): 90.00 90.00 90.00
Last column: nearest neighbours and their distance in Å.
Fractional coordinates of all 5 atoms:
Sc: 0.0000 0.0000 0.0000  6 Be 2.21
Be: 0.0000 0.5000 0.0000  2 Sc 2.21
Be: 0.0000 0.0000 0.5000  2 Sc 2.21
Be: 0.5000 0.0000 0.0000  2 Sc 2.21
Fe: 0.5000 0.5000 0.5000  12 Be 3.13

## Properties
The calculation puts the density of states at the Fermi level at 3.146 states/eV per atom. For the magnetic moment, the calculation gives 0.170 μB/f.u. The calculation puts the total energy at -14.3 eV/f.u.

***

3.
Compound: ScBe3Fe
Source: Alexandria via LeMat-Bulk
Functional: PBE
Structure: relaxed

a b c (Å): 3.9759 3.9759 3.9759
angles (deg): 90.00 90.00 90.00
Last column: nearest neighbours and their distance in Å.
Fractional coordinates of all 5 atoms:
Sc: 0.5000 0.5000 0.5000  12 Be 2.81
Be: 0.0000 0.5000 0.0000  2 Fe 1.99
Be: 0.0000 0.0000 0.5000  2 Fe 1.99
Be: 0.5000 0.0000 0.0000  2 Fe 1.99
Fe: 0.0000 0.0000 0.0000  6 Be 1.99

## Properties
The calculation puts the density of states at the Fermi level at 0.478 states/eV per atom. For the magnetic moment, the calculation gives 0.000 μB/f.u. The calculation puts the total energy at -25.5 eV/f.u.

***

4.
Compound: Sc2BeFe
Source: Alexandria via LeMat-Bulk
Functional: PBE
Structure: relaxed

a b c (Å): 3.0379 3.0379 6.9406
angles (deg): 90.00 90.00 90.00
Last column: nearest neighbours and their distance in Å.
Fractional coordinates of all 4 atoms:
Sc: 0.0000 0.0000 0.9356  1 Be 2.58, 4 Fe 2.80
Sc: 0.5000 0.5000 0.3236  1 Fe 2.45, 4 Be 2.72
Be: 0.0000 0.0000 0.5645  4 Fe 2.28
Fe: 0.5000 0.5000 0.6763  4 Be 2.28, 1 Sc 2.45

## Properties
The calculation puts the density of states at the Fermi level at 0.697 states/eV per atom. For the magnetic moment, the calculation gives 0.000 μB/f.u. The calculation puts the total energy at -25.0 eV/f.u.

***

5.
Compound: Sc2BeFe2
Source: Alexandria via LeMat-Bulk
Functional: PBE
Structure: relaxed

a b c (Å): 6.0523 6.0523 4.0129
angles (deg): 90.00 90.00 90.00
Last column: nearest neighbours and their distance in Å.
Fractional coordinates of all 10 atoms:
Sc: 0.1784 0.6784 0.5000  6 Fe 2.60-2.75
Sc: 0.6784 0.8216 0.5000  6 Fe 2.60-2.75
Sc: 0.8216 0.3216 0.5000  6 Fe 2.60-2.75
Sc: 0.3216 0.1784 0.5000  6 Fe 2.60-2.75
Be: 0.0000 0.0000 0.0000  4 Fe 2.38
Be: 0.5000 0.5000 0.0000  4 Fe 2.38
Fe: 0.3707 0.8707 0.0000  1 Fe 2.21, 2 Be 2.38
Fe: 0.8707 0.6293 0.0000  1 Fe 2.21, 2 Be 2.38
Fe: 0.6293 0.1293 0.0000  1 Fe 2.21, 2 Be 2.38
Fe: 0.1293 0.3707 0.0000  1 Fe 2.21, 2 Be 2.38

## Properties
The calculation puts the density of states at the Fermi level at 0.614 states/eV per atom. For the magnetic moment, the calculation gives 1.002 μB/f.u. The calculation puts the total energy at -33.6 eV/f.u.

***

6.
Compound: ScBeFe3
Source: Alexandria via LeMat-Bulk
Functional: PBE
Structure: relaxed

a b c (Å): 4.3584 4.3584 4.3584
angles (deg): 90.00 90.00 90.00
Last column: nearest neighbours and their distance in Å.
Fractional coordinates of all 5 atoms:
Sc: 0.0000 0.0000 0.0000  6 Fe 2.18
Be: 0.5000 0.5000 0.5000  12 Fe 3.08
Fe: 0.0000 0.5000 0.0000  2 Sc 2.18
Fe: 0.0000 0.0000 0.5000  2 Sc 2.18
Fe: 0.5000 0.0000 0.0000  2 Sc 2.18

## Properties
The calculation puts the density of states at the Fermi level at 0.806 states/eV per atom. For the magnetic moment, the calculation gives 5.701 μB/f.u. The calculation puts the total energy at -27.1 eV/f.u.

***

7.
Compound: Sc4BeFe
Source: Alexandria via LeMat-Bulk
Functional: PBE
Structure: relaxed

a b c (Å): 5.5631 5.5631 5.5631
angles (deg): 60.00 60.00 60.00
Last column: nearest neighbours and their distance in Å.
Fractional coordinates of all 6 atoms:
Sc: 0.8758 0.3747 0.3747  6 Sc 2.78-2.79
Sc: 0.3747 0.3747 0.8758  6 Sc 2.78-2.79
Sc: 0.3747 0.8758 0.3747  6 Sc 2.78-2.79
Sc: 0.3747 0.3747 0.3747  6 Sc 2.78-2.79
Be: 0.7500 0.7500 0.7500  12 Sc 3.26, 4 Fe 3.41
Fe: 0.0000 0.0000 0.0000  12 Sc 3.26, 4 Be 3.41

## Properties
The calculation puts the density of states at the Fermi level at 1.306 states/eV per atom. For the magnetic moment, the calculation gives 2.343 μB/f.u. The calculation puts the total energy at -33.0 eV/f.u.

***

8.
Compound: ScBe3Fe
Source: Alexandria via LeMat-Bulk
Functional: PBE
Structure: relaxed

a b c (Å): 4.2702 5.0736 5.9087
angles (deg): 115.43 90.00 90.00
Last column: nearest neighbours and their distance in Å.
Fractional coordinates of all 10 atoms:
Sc: 0.2500 0.3978 0.7956  8 Be 2.64-2.79
Sc: 0.7500 0.6022 0.2044  8 Be 2.64-2.79
Be: 0.2500 0.8068 0.6136  2 Be 2.14, 2 Fe 2.32
Be: 0.7500 0.1932 0.3864  2 Be 2.14, 2 Fe 2.32
Be: 0.2500 0.3757 0.3148  2 Be 2.14-2.21, 2 Fe 2.28
Be: 0.7500 0.6243 0.6852  2 Be 2.14-2.21, 2 Fe 2.28
Be: 0.2500 0.9391 0.3148  2 Be 2.14-2.21, 2 Fe 2.28
Be: 0.7500 0.0609 0.6852  2 Be 2.14-2.21, 2 Fe 2.28
Fe: 0.0000 0.0000 0.0000  2 Fe 2.14, 6 Be 2.28-2.32
Fe: 0.5000 0.0000 0.0000  2 Fe 2.14, 6 Be 2.28-2.32

## Properties
The calculation puts the density of states at the Fermi level at 0.652 states/eV per atom. For the magnetic moment, the calculation gives 0.000 μB/f.u. The calculation puts the total energy at -26.2 eV/f.u.

***

9.
Compound: Sc2BeFe
Source: Alexandria via LeMat-Bulk
Functional: PBE
Structure: relaxed

a b c (Å): 4.9787 4.9787 4.9787
angles (deg): 133.78 133.78 67.43
Last column: nearest neighbours and their distance in Å.
Fractional coordinates of all 4 atoms:
Sc: 0.0000 0.0000 0.0000  4 Be 2.76, 4 Fe 2.85, 4 Sc 2.85
Sc: 0.2500 0.7500 0.5000  4 Fe 2.76, 4 Be 2.85, 4 Sc 2.85
Be: 0.5000 0.5000 0.0000  8 Sc 2.76-2.85, 4 Fe 2.85
Fe: 0.7500 0.2500 0.5000  8 Sc 2.76-2.85, 4 Be 2.85

## Properties
The calculation puts the density of states at the Fermi level at 0.772 states/eV per atom. For the magnetic moment, the calculation gives 1.012 μB/f.u. The calculation puts the total energy at -24.4 eV/f.u.

***

10.
Compound: Sc2BeFe
Source: Alexandria via LeMat-Bulk
Functional: PBE
Structure: relaxed

a b c (Å): 3.7280 3.5686 5.3056
angles (deg): 70.33 90.00 90.00
Last column: nearest neighbours and their distance in Å.
Fractional coordinates of all 4 atoms:
Sc: 0.0000 0.9818 0.9114  3 Be 2.70-2.97, 4 Fe 2.71
Sc: 0.5000 0.2680 0.3389  3 Fe 2.69-2.98, 4 Be 2.71
Be: 0.0000 0.6843 0.5065  2 Fe 2.21
Fe: 0.5000 0.5659 0.7433  2 Be 2.21

## Properties
The calculation puts the density of states at the Fermi level at 0.901 states/eV per atom. For the magnetic moment, the calculation gives 0.486 μB/f.u. The calculation puts the total energy at -25.2 eV/f.u.

***

11.
Compound: Sc3Be8Fe
Source: Alexandria via LeMat-Bulk
Functional: PBE
Structure: relaxed

a b c (Å): 4.5931 4.5931 8.0524
angles (deg): 73.43 73.43 60.00
Last column: nearest neighbours and their distance in Å.
Fractional coordinates of all 12 atoms:
Sc: 0.3782 0.3782 0.8653  12 Be 2.71-2.87, 4 Sc 2.84-2.92
Sc: 0.9911 0.9911 0.0266  1 Fe 2.62, 9 Be 2.65-2.73, 3 Sc 2.92
Sc: 0.5027 0.5027 0.4919  12 Be 2.59-2.69, 3 Fe 2.81, 1 Sc 2.84
Be: 0.9355 0.4319 0.2006  6 Be 2.22-2.40
Be: 0.4530 0.9369 0.6731  6 Be 2.22-2.39
Be: 0.4319 0.4319 0.2006  6 Be 2.22-2.40
Be: 0.9369 0.9369 0.6731  6 Be 2.22-2.39
Be: 0.1881 0.1881 0.4358  6 Be 2.22-2.26
Be: 0.6871 0.6871 0.9387  6 Be 2.39-2.40
Be: 0.4319 0.9355 0.2006  6 Be 2.22-2.40
Be: 0.9369 0.4530 0.6731  6 Be 2.22-2.39
Fe: 0.8764 0.8764 0.3707  4 Sc 2.62-2.81, 12 Be 2.63-2.70

## Properties
The calculation puts the density of states at the Fermi level at 0.396 states/eV per atom. For the magnetic moment, the calculation gives 0.011 μB/f.u. The calculation puts the total energy at -58.5 eV/f.u.

***

12.
Compound: Sc2BeFe
Source: Alexandria via LeMat-Bulk
Functional: PBE
Structure: relaxed

a b c (Å): 6.9536 6.9536 5.6072
angles (deg): 51.68 51.68 90.00
Last column: nearest neighbours and their distance in Å.
Fractional coordinates of all 8 atoms:
Sc: 0.6444 0.1250 0.2500  2 Fe 2.46, 2 Be 2.64, 2 Sc 2.71
Sc: 0.1056 0.6250 0.2500  2 Fe 2.46, 2 Be 2.64, 2 Sc 2.71
Sc: 0.3750 0.3556 0.7500  2 Fe 2.46, 2 Be 2.64, 2 Sc 2.71
Sc: 0.8750 0.8944 0.7500  2 Fe 2.46, 2 Be 2.64, 2 Sc 2.71
Be: 0.5000 0.5000 0.0000  4 Sc 2.64, 2 Fe 2.70
Be: 0.2500 0.7500 0.5000  4 Sc 2.64, 2 Fe 2.70
Fe: 0.0000 0.0000 0.0000  4 Sc 2.46, 2 Be 2.70
Fe: 0.7500 0.2500 0.5000  4 Sc 2.46, 2 Be 2.70

## Properties
The calculation puts the density of states at the Fermi level at 0.836 states/eV per atom. For the magnetic moment, the calculation gives 0.200 μB/f.u. The calculation puts the total energy at -23.2 eV/f.u.